No. 1
The following is a DFT calculation (meta-GGA SCAN) of a crystal of MnSiSe3 relaxed with PBEsol.

```
5
Lattice="4.718 0.000 0.000 0.000 4.718 0.000 0.000 0.000 4.718" Properties=species:S:1:pos:R:3 pbc="T T T"
Mn 0.000 0.000 0.000
Si 2.359 2.359 2.359
Se 0.000 0.000 2.359
Se 0.000 2.359 0.000
Se 2.359 0.000 0.000
```

Output
Fermi-level density of states in states/eV/atom: 0.32
Uncorrected formation energy in eV/atom: 0.3185
Distance to the lowest polymorph of the same formula in meV per atom: 110

=====

No. 2
The following is a DFT calculation (meta-GGA SCAN) of a crystal of Li2GaGe relaxed with PBEsol.

```
16
Lattice="6.186 0.000 0.000 0.000 6.186 0.000 0.000 0.000 6.186" Properties=species:S:1:pos:R:3 pbc="T T T"
Li 1.546 1.546 1.546
Li 1.546 1.546 4.639
Li 1.546 4.639 1.546
Li 1.546 4.639 4.639
Li 4.639 1.546 1.546
Li 4.639 1.546 4.639
Li 4.639 4.639 1.546
Li 4.639 4.639 4.639
Ga 0.000 0.000 0.000
Ga 0.000 3.093 3.093
Ga 3.093 0.000 3.093
Ga 3.093 3.093 0.000
Ge 0.000 0.000 3.093
Ge 0.000 3.093 0.000
Ge 3.093 0.000 0.000
Ge 3.093 3.093 3.093
```

Output
Electronic total energy in eV per cell: -165.3
Fermi-level density of states in states/eV/atom: 0.23

=====

No. 3
The following is a DFT calculation (meta-GGA SCAN) of a crystal of Zr2CdRu relaxed with PBEsol.

```
8
Lattice="4.063 0.000 0.000 0.000 4.063 0.000 0.000 0.000 8.957" Properties=species:S:1:pos:R:3 pbc="T T T"
Zr 0.000 0.000 0.000
Zr 0.000 2.032 2.239
Zr 2.032 0.000 6.718
Zr 2.032 2.032 4.478
Cd 0.000 0.000 4.478
Cd 2.032 2.032 0.000
Ru 0.000 2.032 6.718
Ru 2.032 0.000 2.239
```

Output
Electronic total energy in eV per cell: -254.7
Fermi-level density of states in states/eV/atom: 0.79

=====

No. 4
The following is a DFT calculation (meta-GGA SCAN) of a crystal of Cd2MoCl relaxed with PBEsol.

```
4
Lattice="2.843 0.000 0.000 0.000 5.593 0.000 -0.043 0.000 4.754" Properties=species:S:1:pos:R:3 pbc="T T T"
Cd 0.675 0.000 1.176
Cd 2.125 0.000 3.578
Mo 1.421 2.796 0.000
Cl 1.400 2.796 2.377
```

Output
Fermi-level density of states in states/eV/atom: 0.66
Uncorrected formation energy in eV/atom: 0.3993
Distance to the lowest polymorph of the same formula in meV per atom: 0

=====

No. 5
The following is a DFT calculation (meta-GGA SCAN) of a crystal of K3In2As3 relaxed with PBEsol.

```
32
Lattice="9.855 -3.376 0.000 9.855 3.376 0.000 0.000 0.000 14.748" Properties=species:S:1:pos:R:3 pbc="T T T"
K 6.750 1.822 2.583
K 6.750 1.553 9.957
K 9.855 2.348 12.707
K 9.855 1.028 5.333
K 12.960 1.822 2.583
K 12.960 1.553 9.957
K 6.750 -1.553 4.791
K 6.750 -1.822 12.165
K 9.855 -1.028 9.414
K 9.855 -2.348 2.040
K 12.960 -1.553 4.791
K 12.960 -1.822 12.165
In 1.644 0.000 7.374
In 4.713 0.000 0.000
In 5.142 0.000 7.374
In 8.210 0.000 0.000
In 11.499 0.000 0.000
In 14.568 0.000 7.374
In 14.997 0.000 0.000
In 18.065 0.000 7.374
As 6.429 1.851 5.915
As 6.429 1.524 13.289
As 9.855 2.279 9.145
As 9.855 1.097 1.771
As 13.281 1.851 5.915
As 13.281 1.524 13.289
As 6.429 -1.524 1.459
As 6.429 -1.851 8.833
As 9.855 -1.097 12.976
As 9.855 -2.279 5.602
As 13.281 -1.524 1.459
As 13.281 -1.851 8.833
```

Output
Electronic total energy in eV per cell: -626.9

=====

No. 6
The following is a DFT calculation (meta-GGA SCAN) of a crystal of Mn2CoOs relaxed with PBEsol.

```
8
Lattice="3.578 0.000 0.000 0.000 3.578 0.000 0.000 0.000 7.126" Properties=species:S:1:pos:R:3 pbc="T T T"
Mn 0.000 0.000 0.000
Mn 0.000 1.789 1.781
Mn 1.789 0.000 5.344
Mn 1.789 1.789 3.563
Co 0.000 1.789 5.344
Co 1.789 0.000 1.781
Os 0.000 0.000 3.563
Os 1.789 1.789 0.000
```

Output
Electronic total energy in eV per cell: -252.1
Fermi-level density of states in states/eV/atom: 0.64

=====

no.,magnetization (μB per cell)
1,3.933
2,0.000
3,0.000
4,0.000
5,0.000
6,0.165